! PBE Be2AgHgBi, relaxed; values from VASP
&SYSTEM
  ibrav = 0, nat = 5, ntyp = 4
/
ATOMIC_SPECIES
Hg 200.59 Hg.upf
Bi 208.98 Bi.upf
Be 9.01 Be.upf
Ag 107.87 Ag.upf
CELL_PARAMETERS angstrom
4.437 0.000 0.000
0.000 6.131 0.000
0.000 0.000 4.437
ATOMIC_POSITIONS crystal
Hg 0.000 0.000 0.000
Bi 0.000 0.500 0.000
Be 0.000 0.000 0.500
Be 0.500 0.000 0.000
Ag 0.500 0.500 0.500
! Calculated formation energy, eV per formula unit: 4.12
! Total DFT energy (no corrections), eV/atom: -2.07
! D(E_F), states/eV/f.u.: 1.92
! ρ, Mg/m³: 7.4
! Total moment, μB/atom: 0.0000
! Space group: P4/mmm (123)